# 1
A plane-wave DFT calculation with GGA-PBE was carried out for a relaxed structure of LaSbSe2.

The structure in POSCAR format:
```
LaSbSe2
1.0
-1.3395 -3.9157 -0.9286
1.5803 0.3877 -3.9144
5.5054 -2.3551 1.9894
Sb Se La
1 2 1
direct
0.5000 0.5000 0.8507
0.0000 0.0000 0.8963
0.5000 0.5000 0.3222
0.0000 0.0000 0.4308
```

## Properties
Crystal system: tetragonal
Electronic total energy, eV/atom: -5.02
N(E_F), states/eV/cell: 1.78
Energy relative to the lowest polymorph listed for this composition, eV per atom: 0.1113
E_form (uncorrected), eV/atom: -1.02

# 2
A plane-wave DFT calculation with GGA-PBE was carried out for a relaxed structure of BiSbTe2Se.

The structure in POSCAR format:
```
BiSbTe2Se
1.0
5.4177 0.0000 0.0000
0.0000 5.4177 0.0000
0.0000 0.0000 5.5227
Sb Se Te Bi
1 1 2 1
direct
0.0000 0.0000 0.5000
0.0000 0.0000 0.0000
0.0000 0.5000 0.0000
0.5000 0.0000 0.0000
0.5000 0.5000 0.5000
```

## Properties
Crystal system: tetragonal
Electronic total energy, eV/atom: -3.10
N(E_F), states/eV/cell: 3.73
Energy relative to the lowest polymorph listed for this composition, eV per atom: 0.0000
E_form (uncorrected), eV/atom: 0.46

# 3
A plane-wave DFT calculation with GGA-PBE was carried out for a relaxed structure of K5BS4O16.

The structure in POSCAR format:
```
K5BS4O16
1.0
10.1107 0.0000 0.0000
0.0000 10.1107 0.0000
0.0000 0.0000 16.5466
O B K S
64 4 20 16
direct
0.0760 0.7442 0.7358
0.3583 0.2527 0.1399
0.9947 0.4115 0.1312
0.4651 0.8068 0.7337
0.4045 0.2373 0.9201
0.2373 0.5955 0.6701
0.7850 0.1465 0.0093
0.8535 0.7850 0.2593
0.6417 0.7473 0.6399
0.2724 0.6171 0.4059
0.9945 0.6589 0.3531
0.5349 0.1932 0.2337
0.0199 0.5682 0.8998
0.3849 0.4735 0.3083
0.7276 0.3829 0.9059
0.4318 0.0199 0.1498
0.8068 0.5349 0.4837
0.8527 0.5164 0.8053
0.5885 0.9947 0.3812
0.5955 0.7627 0.4201
0.6589 0.0055 0.1031
0.5020 0.9185 0.5110
0.5682 0.9801 0.6498
0.1141 0.6910 0.0080
0.2456 0.0882 0.4775
0.1050 0.0229 0.5912
0.6910 0.8859 0.7580
0.0815 0.5020 0.7610
0.0053 0.5885 0.6312
0.8950 0.9771 0.0912
0.5164 0.1473 0.5553
0.3411 0.9945 0.6031
0.2150 0.8535 0.5093
0.2558 0.0760 0.9858
0.9240 0.2558 0.2358
0.6171 0.7276 0.1559
0.4115 0.0053 0.8812
0.7442 0.9240 0.4858
0.3090 0.1141 0.2580
0.2608 0.3770 0.4205
0.7392 0.6230 0.9205
0.8859 0.3090 0.5080
0.9771 0.1050 0.8412
0.1932 0.4651 0.9837
0.4836 0.8527 0.0553
0.4980 0.0815 0.0110
0.1473 0.4836 0.3053
0.7544 0.9118 0.9775
0.2527 0.6417 0.8899
0.4735 0.6151 0.0583
0.7473 0.3583 0.3899
0.6151 0.5265 0.8083
0.0882 0.7544 0.2275
0.9801 0.4318 0.3998
0.7627 0.4045 0.1701
0.0055 0.3411 0.8531
0.6230 0.2608 0.6705
0.9118 0.2456 0.7275
0.3829 0.2724 0.6559
0.5265 0.3849 0.5583
0.9185 0.4980 0.2610
0.1465 0.2150 0.7593
0.0229 0.8950 0.3412
0.3770 0.7392 0.1705
0.5177 0.9906 0.0795
0.9906 0.4823 0.8295
0.4823 0.0094 0.5795
0.0094 0.5177 0.3295
0.2422 0.9589 0.7543
0.9022 0.8214 0.8524
0.6538 0.5864 0.2987
0.4136 0.6538 0.5487
0.1786 0.9022 0.1024
0.9589 0.7578 0.5043
0.0411 0.2422 0.0043
0.3462 0.4136 0.7987
0.5017 0.7530 0.8988
0.2470 0.5017 0.1488
0.6779 0.1429 0.8355
0.7578 0.0411 0.2543
0.4983 0.2470 0.3988
0.7530 0.4983 0.6488
0.8571 0.6779 0.0855
0.3221 0.8571 0.3355
0.8214 0.0978 0.6024
0.1429 0.3221 0.5855
0.5864 0.3462 0.0487
0.0978 0.1786 0.3524
0.5917 0.8451 0.6977
0.4892 0.7264 0.1144
0.4083 0.1549 0.1977
0.7800 0.0109 0.0406
0.3832 0.1005 0.9462
0.1549 0.5917 0.9477
0.8995 0.3832 0.1962
0.5108 0.2736 0.6144
0.0109 0.2200 0.7906
0.2736 0.4892 0.3644
0.2200 0.9891 0.5406
0.7264 0.5108 0.8644
0.8451 0.4083 0.4477
0.1005 0.6168 0.6962
0.9891 0.7800 0.2906
0.6168 0.8995 0.4462
```

## Properties
Crystal system: tetragonal
Electronic total energy, eV/atom: -5.96
N(E_F), states/eV/cell: 0.00
E_form (uncorrected), eV/atom: -1.81

# 4
A plane-wave DFT calculation with GGA-PBE was carried out for a relaxed structure of Si2MoIr.

The structure in POSCAR format:
```
Si2MoIr
1.0
8.2116 0.0035 0.0021
7.7178 2.8046 0.0021
7.7178 1.3605 2.4525
Ir Mo Si
1 1 2
direct
0.7500 0.7500 0.7500
0.2500 0.2500 0.2500
0.4975 0.4975 0.4975
0.0025 0.0025 0.0025
```

## Properties
Crystal system: trigonal
Electronic total energy, eV/atom: -7.84
N(E_F), states/eV/cell: 4.44
E_form (uncorrected), eV/atom: -0.21

# 5
A plane-wave DFT calculation with GGA-PBE was carried out for a relaxed structure of Nd12HoCd3.

The structure in POSCAR format:
```
Nd12HoCd3
1.0
-0.3137 -4.9649 0.5724
3.1826 0.2438 3.8585
-15.6220 2.4548 12.7304
Nd Cd Ho
12 3 1
direct
0.0000 0.5000 0.1299
0.5000 0.0000 0.1299
0.0000 0.5000 0.8701
0.5000 0.0000 0.6228
0.5000 0.5000 0.2538
0.5000 0.0000 0.3772
0.5000 0.0000 0.8701
0.5000 0.5000 0.5000
0.5000 0.5000 0.7462
0.5000 0.5000 0.0000
0.0000 0.5000 0.6228
0.0000 0.5000 0.3772
0.0000 0.0000 0.2563
0.0000 0.0000 0.5000
0.0000 0.0000 0.7437
0.0000 0.0000 0.0000
```

## Properties
Crystal system: tetragonal
Electronic total energy, eV/atom: -4.11
N(E_F), states/eV/cell: 23.93
Formation energy, eV per atom: -0.075

# 6
A plane-wave DFT calculation with GGA-PBE was carried out for a relaxed structure of ScCd2Rh.

The structure in POSCAR format:
```
ScCd2Rh
1.0
9.2507 0.0194 0.0114
8.6820 3.1936 0.0114
8.6820 1.5555 2.7892
Cd Sc Rh
2 1 1
direct
0.2416 0.2416 0.2416
0.0024 0.0024 0.0024
0.7618 0.7618 0.7618
0.4941 0.4941 0.4941
```

## Properties
Crystal system: trigonal
Electronic total energy, eV/atom: -4.12
N(E_F), states/eV/cell: 3.02
Formation energy, eV per atom: -0.240